{
  "formula": "Ce4CoPd",
  "functional": "PBE",
  "state": "relaxed",
  "cell": [[4.026, -6.928, 0.000], [4.026, 6.928, 0.000], [-3.492, 0.000, 5.318]],
  "species": ["Ce", "Ce", "Ce", "Ce", "Ce", "Ce", "Ce", "Ce", "Co", "Co", "Pd", "Pd"],
  "fractional_positions": [[0.038, 0.583, 0.831], [0.177, 0.299, 0.705], [0.299, 0.177, 0.205], [0.417, 0.962, 0.669], [0.583, 0.038, 0.331], [0.701, 0.823, 0.795], [0.823, 0.701, 0.295], [0.962, 0.417, 0.169], [0.083, 0.917, 0.750], [0.917, 0.083, 0.250], [0.404, 0.596, 0.250], [0.596, 0.404, 0.750]],
  "sg": "C2/c (15)"
}



{
  "formula": "Ce2CoPd",
  "functional": "PBE",
  "state": "relaxed",
  "cell": [[3.902, 0.000, 0.000], [-1.951, 3.380, 0.000], [0.000, 0.000, 20.559]],
  "species": ["Ce", "Ce", "Ce", "Ce", "Ce", "Ce", "Co", "Co", "Co", "Pd", "Pd", "Pd"],
  "fractional_positions": [[0.000, 0.000, 0.000], [0.000, 0.000, 0.187], [0.333, 0.667, 0.667], [0.333, 0.667, 0.854], [0.667, 0.333, 0.333], [0.667, 0.333, 0.520], [0.000, 0.000, 0.593], [0.333, 0.667, 0.260], [0.667, 0.333, 0.927], [0.000, 0.000, 0.428], [0.333, 0.667, 0.095], [0.667, 0.333, 0.761]],
  "e_above_lowest_polymorph_mev_per_atom": 37.9,
  "sg": "R3m (160)"
}



{
  "formula": "Ce2CoPd",
  "functional": "PBE",
  "state": "relaxed",
  "cell": [[6.953, 0.000, 0.000], [0.000, 6.953, 0.000], [0.000, 0.000, 6.953]],
  "species": ["Ce", "Ce", "Ce", "Ce", "Ce", "Ce", "Ce", "Ce", "Co", "Co", "Co", "Co", "Pd", "Pd", "Pd", "Pd"],
  "fractional_positions": [[0.250, 0.250, 0.250], [0.250, 0.250, 0.750], [0.250, 0.750, 0.250], [0.250, 0.750, 0.750], [0.750, 0.250, 0.250], [0.750, 0.250, 0.750], [0.750, 0.750, 0.250], [0.750, 0.750, 0.750], [0.000, 0.000, 0.000], [0.000, 0.500, 0.500], [0.500, 0.000, 0.500], [0.500, 0.500, 0.000], [0.000, 0.000, 0.500], [0.000, 0.500, 0.000], [0.500, 0.000, 0.000], [0.500, 0.500, 0.500]],
  "e_above_lowest_polymorph_mev_per_atom": 57.8,
  "sg": "Fm-3m (225)"
}



{
  "formula": "Ce2CoPd",
  "functional": "PBE",
  "state": "relaxed",
  "cell": [[3.514, 0.000, 0.000], [-1.757, 3.043, 0.000], [0.000, 0.000, 26.112]],
  "species": ["Ce", "Ce", "Ce", "Ce", "Ce", "Ce", "Co", "Co", "Co", "Pd", "Pd", "Pd"],
  "fractional_positions": [[0.000, 0.000, 0.102], [0.000, 0.000, 0.898], [0.333, 0.667, 0.565], [0.333, 0.667, 0.768], [0.667, 0.333, 0.232], [0.667, 0.333, 0.435], [0.000, 0.000, 0.500], [0.333, 0.667, 0.167], [0.667, 0.333, 0.833], [0.000, 0.000, 0.000], [0.333, 0.667, 0.667], [0.667, 0.333, 0.333]],
  "e_above_lowest_polymorph_mev_per_atom": 393.9,
  "sg": "R-3m (166)"
}



One value per record, in order, for raw total energy: -74.3, -76.4, -101.6, -72.1 eV for the cell shown.
One value per record, in order, for M_tot: 0.94, 0.01, 1.22, 1.44 μB per formula unit.